First-principles (PBE) data for GaReSn after structural relaxation, as listed in OQMD via LeMat-Bulk.

a = 4.422 Å, b = 4.422 Å, c = 4.422 Å
α = 60.00°, β = 60.00°, γ = 60.00°
Atoms (fractional coordinates):
Ga  0.000  0.000  0.000
Re  0.250  0.250  0.250
Sn  0.500  0.500  0.500

Values from the calculation:
Calculated volume (Å³/cell): 61.1
ΔE to the lowest computed polymorph (eV per atom): 0.000
Total moment (Bohr magnetons per cell): 0.00
Space group: F-43m (216)

***

First-principles (PBE) data for Ga2ReSn2 after structural relaxation, as listed in OQMD via LeMat-Bulk.

a = 9.109 Å, b = 9.109 Å, c = 9.109 Å
α = 158.08°, β = 158.08°, γ = 31.20°
Atoms (fractional coordinates):
Ga  0.250  0.750  0.500
Ga  0.750  0.250  0.500
Re  0.000  0.000  0.000
Sn  0.411  0.411  0.000
Sn  0.589  0.589  0.000

Values from the calculation:
Calculated volume (Å³/cell): 105.3
E_tot (eV per formula unit): -24.15
Total moment (Bohr magnetons per cell): 0.05
Space group: I4/mmm (139)